Entry 1:
Below is a relaxed BaCdP2Cl crystal, with properties calculated at the GGA-PBE level.

Unit cell a=6.542 b=6.542 c=5.917 alpha=90.00 beta=90.00 gamma=90.00
Site moments in Bohr magnetons follow the coordinates.
Atoms (fractional coordinates):
P (0.500, 0.000, 0.000)  0.95
P (0.000, 0.500, 0.000)  0.95
Cl (0.000, 0.000, 0.500)  0.04
Cd (0.500, 0.500, 0.500)  0.09
Ba (0.000, 0.000, 0.000)  0.05

Results
Space-group type: P4/mmm (123)
Relative energy among the computed polymorphs: 734 meV per atom
Formation energy (no corrections): 0.39 eV/atom
Crystal system: tetragonal

Entry 2:
Below is a relaxed BaCdPb2Cl8 crystal, with properties calculated at the GGA-PBE level.

Unit cell a=6.757 b=6.599 c=8.873 alpha=90.00 beta=90.00 gamma=89.20
Atoms (fractional coordinates):
Cl (0.677, 0.748, 0.000)
Cl (0.844, 0.228, 0.782)
Cl (0.640, 0.725, 0.500)
Cl (0.844, 0.228, 0.218)
Cl (0.323, 0.252, 0.000)
Cl (0.156, 0.772, 0.218)
Cl (0.360, 0.275, 0.500)
Cl (0.156, 0.772, 0.782)
Pb (0.500, 0.500, 0.235)
Pb (0.500, 0.500, 0.765)
Ba (0.000, 0.000, 0.500)
Cd (0.000, 0.000, 0.000)

Results
Space-group type: P2/m (10)
Formation energy (no corrections): -1.45 eV/atom
Crystal system: monoclinic

Entry 3:
Below is a relaxed Ba2CdPdCl crystal, with properties calculated at the GGA-PBE level.

Unit cell a=6.446 b=5.246 c=6.446 alpha=90.00 beta=90.00 gamma=90.00
Atoms (fractional coordinates):
Ba (0.000, 0.000, 0.500)
Ba (0.500, 0.000, 0.000)
Cd (0.000, 0.000, 0.000)
Pd (0.500, 0.500, 0.500)
Cl (0.000, 0.500, 0.000)

Results
Space-group type: P4/mmm (123)
Formation energy (no corrections): -0.09 eV/atom
Crystal system: tetragonal

Entry 4:
Below is a relaxed Rb2BaCdCl6 crystal, with properties calculated at the GGA-PBE level.

Unit cell a=7.675 b=7.974 c=10.999 alpha=90.00 beta=91.01 gamma=90.00
Atoms (fractional coordinates):
Cl (0.816, 0.779, 0.945)
Cl (0.400, 0.968, 0.731)
Cl (0.600, 0.032, 0.269)
Cl (0.279, 0.689, 0.050)
Cl (0.684, 0.279, 0.555)
Cl (0.100, 0.468, 0.769)
Cl (0.184, 0.221, 0.055)
Cl (0.900, 0.532, 0.231)
Cl (0.221, 0.189, 0.450)
Cl (0.721, 0.311, 0.950)
Cl (0.316, 0.721, 0.445)
Cl (0.779, 0.811, 0.550)
Cd (0.000, 0.500, 0.000)
Cd (0.500, 0.000, 0.500)
Rb (0.978, 0.063, 0.752)
Rb (0.478, 0.437, 0.252)
Rb (0.522, 0.563, 0.748)
Rb (0.022, 0.937, 0.248)
Ba (0.000, 0.500, 0.500)
Ba (0.500, 0.000, 0.000)

Results
Space-group type: P2_1/c (14)
Relative energy among the computed polymorphs: 0 meV per atom
Formation energy (no corrections): -1.86 eV/atom
Crystal system: monoclinic

Entry 5:
Below is a relaxed Rb3BaCd2Cl9 crystal, with properties calculated at the GGA-PBE level.

Unit cell a=7.588 b=7.588 c=10.205 alpha=90.00 beta=90.00 gamma=120.00
Atoms (fractional coordinates):
Rb (0.333, 0.667, 0.744)
Rb (0.667, 0.333, 0.256)
Rb (0.000, 0.000, 0.000)
Cl (0.663, 0.831, 0.299)
Cl (0.500, 0.000, 0.000)
Cl (0.831, 0.169, 0.701)
Cl (0.000, 0.500, 0.000)
Cl (0.169, 0.831, 0.299)
Cl (0.500, 0.500, 0.000)
Cl (0.831, 0.663, 0.701)
Cl (0.337, 0.169, 0.701)
Cl (0.169, 0.337, 0.299)
Cd (0.333, 0.667, 0.158)
Cd (0.667, 0.333, 0.842)
Ba (0.000, 0.000, 0.500)

Results
Space-group type: P-3m1 (164)
Formation energy (no corrections): -1.70 eV/atom
Crystal system: trigonal

Entry 6:
Below is a relaxed Rb2BaCdCl6 crystal, with properties calculated at the GGA-PBE level.

Unit cell a=7.965 b=7.965 c=7.967 alpha=60.00 beta=60.00 gamma=90.00
Atoms (fractional coordinates):
Cl (0.734, 0.734, 0.000)
Cl (0.734, 0.734, 0.531)
Cl (0.266, 0.266, 0.000)
Cl (0.266, 0.266, 0.469)
Cl (0.734, 0.266, 0.000)
Cl (0.266, 0.734, 0.000)
Rb (0.750, 0.250, 0.500)
Rb (0.250, 0.750, 0.500)
Ba (0.000, 0.000, 0.000)
Cd (0.500, 0.500, 0.000)

Results
Space-group type: Fm-3m (225)
Relative energy among the computed polymorphs: 41 meV per atom
Formation energy (no corrections): -1.82 eV/atom
Crystal system: cubic

Entry 7:
Below is a relaxed BaCdSbCl crystal, with properties calculated at the GGA-PBE level.

Unit cell a=4.856 b=4.856 c=10.600 alpha=90.00 beta=90.00 gamma=90.00
Atoms (fractional coordinates):
Cl (0.000, 0.000, 0.500)
Cl (0.500, 0.500, 0.500)
Ba (0.500, 0.000, 0.683)
Ba (0.000, 0.500, 0.317)
Cd (0.000, 0.000, 0.000)
Cd (0.500, 0.500, 0.000)
Sb (0.500, 0.000, 0.168)
Sb (0.000, 0.500, 0.832)

Results
Space-group type: P4/nmm (129)
Formation energy (no corrections): -1.26 eV/atom
Crystal system: tetragonal

Entry 8:
Below is a relaxed BaCdSn2Cl8 crystal, with properties calculated at the GGA-PBE level.

Unit cell a=6.792 b=6.478 c=8.909 alpha=89.79 beta=90.77 gamma=88.42
Atoms (fractional coordinates):
Cl (0.680, 0.746, 0.968)
Cl (0.818, 0.204, 0.214)
Cl (0.355, 0.279, 0.467)
Cl (0.320, 0.254, 0.032)
Cl (0.182, 0.796, 0.786)
Cl (0.863, 0.251, 0.779)
Cl (0.137, 0.749, 0.221)
Cl (0.645, 0.721, 0.533)
Cd (0.000, 0.000, 0.000)
Sn (0.485, 0.494, 0.233)
Sn (0.515, 0.506, 0.767)
Ba (0.000, 0.000, 0.500)

Results
Space-group type: P-1 (2)
Formation energy (no corrections): -1.37 eV/atom
Crystal system: triclinic

Entry 9:
Below is a relaxed BaSrCd2Cl8 crystal, with properties calculated at the GGA-PBE level.

Unit cell a=6.818 b=6.818 c=9.756 alpha=90.00 beta=90.00 gamma=120.00
Atoms (fractional coordinates):
Cd (0.333, 0.667, 0.765)
Cd (0.667, 0.333, 0.235)
Cl (0.667, 0.333, 0.983)
Cl (0.991, 0.297, 0.708)
Cl (0.703, 0.694, 0.708)
Cl (0.297, 0.306, 0.292)
Cl (0.694, 0.991, 0.292)
Cl (0.306, 0.009, 0.708)
Cl (0.333, 0.667, 0.017)
Cl (0.009, 0.703, 0.292)
Sr (0.000, 0.000, 0.500)
Ba (0.000, 0.000, 0.000)

Results
Space-group type: P-3 (147)
Formation energy (no corrections): -1.68 eV/atom
Crystal system: trigonal

Entry 10:
Below is a relaxed BaCdTeCl2 crystal, with properties calculated at the GGA-PBE level.

Unit cell a=5.884 b=6.420 c=5.884 alpha=90.00 beta=90.00 gamma=90.00
Atoms (fractional coordinates):
Cl (0.500, 0.000, 0.000)
Cl (0.000, 0.000, 0.500)
Cd (0.500, 0.500, 0.500)
Te (0.000, 0.000, 0.000)
Ba (0.000, 0.500, 0.000)

Results
Space-group type: P4/mmm (123)
Formation energy (no corrections): -0.53 eV/atom
Crystal system: tetragonal

Entry 11:
Below is a relaxed Ba2TiCdCl crystal, with properties calculated at the GGA-PBE level.

Unit cell a=6.221 b=6.221 c=4.639 alpha=90.00 beta=90.00 gamma=90.00
Site moments in Bohr magnetons follow the coordinates.
Atoms (fractional coordinates):
Cl (0.000, 0.000, 0.000)  -0.04
Cd (0.500, 0.500, 0.500)  -0.02
Ti (0.000, 0.000, 0.500)  1.70
Ba (0.000, 0.500, 0.000)  0.05
Ba (0.500, 0.000, 0.000)  0.05

Results
Space-group type: P4/mmm (123)
Formation energy (no corrections): -0.33 eV/atom
Crystal system: tetragonal

Entry 12:
Below is a relaxed BaY2CdCl crystal, with properties calculated at the GGA-PBE level.

Unit cell a=5.710 b=6.641 c=5.710 alpha=90.00 beta=90.00 gamma=90.00
Site moments in Bohr magnetons follow the coordinates.
Atoms (fractional coordinates):
Y (0.000, 0.000, 0.500)  0.11
Y (0.500, 0.000, 0.000)  0.19
Cl (0.000, 0.500, 0.000)  0.00
Ba (0.500, 0.500, 0.500)  -0.01
Cd (0.000, 0.000, 0.000)  0.04

Results
Space-group type: P4/mmm (123)
Formation energy (no corrections): 0.18 eV/atom
Crystal system: tetragonal